(1)
Density functional theory data (SCAN) for a crystal of Ni3OF5 relaxed with PBEsol.

Summary:
V in Å³/f.u.: 95.2
Total energy in eV/cell: -181.62
ΔE to the lowest computed polymorph in meV per atom: 0
Mass density in Mg/m³: 5.01
Energy relative to the elements, uncorrected in meV per atom: -2040

```
Ni3OF5
1.0
9.124 0.000 0.000
0.000 4.571 0.000
0.000 0.000 4.563
Ni O F
6 2 10
Direct
0.000 0.222 0.000
0.158 0.756 0.461
0.342 0.244 0.961
0.500 0.778 0.500
0.658 0.244 0.961
0.842 0.756 0.461
0.000 0.935 0.282
0.500 0.065 0.782
0.000 0.536 0.682
0.168 0.048 0.780
0.171 0.436 0.172
0.329 0.564 0.672
0.332 0.952 0.280
0.500 0.464 0.182
0.668 0.952 0.280
0.671 0.564 0.672
0.829 0.436 0.172
0.832 0.048 0.780
```


(2)
Density functional theory data (SCAN) for a crystal of K2SrTiH relaxed with PBEsol.

Summary:
V in Å³/f.u.: 161.5
Total energy in eV/cell: -56.26
Mass density in Mg/m³: 2.21

```
K2SrTiH
1.0
5.383 0.000 0.000
0.000 5.383 0.000
0.000 0.000 5.575
K Sr Ti H
2 1 1 1
Direct
0.000 0.500 0.000
0.500 0.000 0.000
0.000 0.000 0.500
0.500 0.500 0.500
0.000 0.000 0.000
```


(3)
Density functional theory data (SCAN) for a crystal of YZrIn2 relaxed with PBEsol.

Summary:
V in Å³/f.u.: 91.7
Total energy in eV/cell: -127.37
Mass density in Mg/m³: 7.42
Formation enthalpy at 0 K in eV/atom: -0.513

```
YZrIn2
1.0
3.269 -4.345 0.000
3.269 4.345 0.000
0.000 0.000 3.227
Y Zr In
1 1 2
Direct
0.000 0.000 0.000
0.500 0.500 0.000
0.000 0.500 0.500
0.500 0.000 0.500
```


(4)
Density functional theory data (SCAN) for a crystal of MnP2Ru relaxed with PBEsol.

Summary:
V in Å³/f.u.: 47.0
Total energy in eV/cell: -74.72
ΔE to the lowest computed polymorph in meV per atom: 0
Mass density in Mg/m³: 7.71
Formation enthalpy at 0 K in eV/atom: -0.210

```
MnP2Ru
1.0
3.592 -1.394 0.000
3.592 1.394 0.000
-1.030 0.000 4.690
Mn P Ru
1 2 1
Direct
0.000 0.000 0.000
0.254 0.254 0.775
0.746 0.746 0.225
0.500 0.500 0.500
```


(5)
Density functional theory data (SCAN) for a crystal of MnBeCo relaxed with PBEsol.

Summary:
V in Å³/f.u.: 32.8
Total energy in eV/cell: -39.54
ΔE to the lowest computed polymorph in meV per atom: 178
Mass density in Mg/m³: 6.22
Formation enthalpy at 0 K in eV/atom: 0.125

```
MnBeCo
1.0
0.000 2.540 2.540
2.540 0.000 2.540
2.540 2.540 0.000
Mn Be Co
1 1 1
Direct
0.000 0.000 0.000
0.250 0.250 0.250
0.500 0.500 0.500
```


(6)
Density functional theory data (SCAN) for a crystal of TaMn2Os relaxed with PBEsol.

Summary:
V in Å³/f.u.: 54.1
Total energy in eV/cell: -175.23
ΔE to the lowest computed polymorph in meV per atom: 229
Mass density in Mg/m³: 14.75
Formation enthalpy at 0 K in eV/atom: -0.064

```
TaMn2Os
1.0
2.615 -4.047 0.000
2.615 4.047 0.000
-0.766 0.000 2.558
Ta Mn Os
1 2 1
Direct
0.000 0.000 0.000
0.000 0.500 0.500
0.500 0.000 0.500
0.500 0.500 0.000
```


(7)
Density functional theory data (SCAN) for a crystal of Ca4GdB3O10 relaxed with PBEsol.

Summary:
V in Å³/f.u.: 223.0
Total energy in eV/cell: -240.43
Mass density in Mg/m³: 3.80
Energy relative to the elements, uncorrected in meV per atom: -3242

```
Ca4GdB3O10
1.0
4.029 -7.981 0.000
4.029 7.981 0.000
-0.684 0.000 3.466
Ca Gd B O
4 1 3 10
Direct
0.113 0.887 0.000
0.195 0.560 0.669
0.560 0.195 0.669
0.887 0.113 0.000
0.641 0.641 0.327
0.266 0.266 0.627
0.497 0.886 0.245
0.886 0.497 0.245
0.022 0.678 0.444
0.105 0.255 0.578
0.255 0.105 0.578
0.403 0.943 0.049
0.410 0.695 0.246
0.442 0.442 0.724
0.678 0.022 0.444
0.695 0.410 0.246
0.814 0.814 0.906
0.943 0.403 0.049
```


(8)
Density functional theory data (SCAN) for a crystal of CuAg2Pt relaxed with PBEsol.

Summary:
V in Å³/f.u.: 59.6
Total energy in eV/cell: -148.10
ΔE to the lowest computed polymorph in meV per atom: 33
Mass density in Mg/m³: 13.21
Formation enthalpy at 0 K in eV/atom: 0.006

```
CuAg2Pt
1.0
2.799 0.000 0.000
0.000 3.753 0.000
0.000 0.000 5.678
Cu Ag Pt
1 2 1
Direct
0.000 0.000 0.000
0.000 0.000 0.483
0.500 0.500 0.744
0.500 0.500 0.219
```


(9)
Density functional theory data (SCAN) for a crystal of LiLaAg4 relaxed with PBEsol.

Summary:
V in Å³/f.u.: 121.0
Total energy in eV/cell: -172.30
Mass density in Mg/m³: 7.92
Formation enthalpy at 0 K in eV/atom: -0.223

```
LiLaAg4
1.0
0.000 3.926 3.926
3.926 0.000 3.926
3.926 3.926 0.000
Li La Ag
1 1 4
Direct
0.000 0.000 0.000
0.750 0.750 0.750
0.374 0.374 0.374
0.374 0.374 0.878
0.374 0.878 0.374
0.878 0.374 0.374
```


(10)
Density functional theory data (SCAN) for a crystal of YMg2Pb relaxed with PBEsol.

Summary:
V in Å³/f.u.: 96.7
Total energy in eV/cell: -115.42
Mass density in Mg/m³: 5.92
Formation enthalpy at 0 K in eV/atom: -0.462

```
YMg2Pb
1.0
4.512 0.000 0.000
0.000 4.512 0.000
0.000 0.000 4.749
Y Mg Pb
1 2 1
Direct
0.000 0.000 0.000
0.000 0.500 0.500
0.500 0.000 0.500
0.500 0.500 0.000
```


(11)
Density functional theory data (SCAN) for a crystal of Be2SbPb relaxed with PBEsol.

Summary:
V in Å³/f.u.: 77.6
Total energy in eV/cell: -119.00
ΔE to the lowest computed polymorph in meV per atom: 0
Mass density in Mg/m³: 7.43
Energy relative to the elements, uncorrected in meV per atom: 688

```
Be2SbPb
1.0
-1.887 2.744 3.743
1.887 -2.744 3.743
1.887 2.744 -3.743
Be Sb Pb
2 1 1
Direct
0.229 0.229 0.000
0.771 0.771 0.000
0.000 0.500 0.500
0.500 0.000 0.500
```


(12)
Density functional theory data (SCAN) for a crystal of MgOsRu relaxed with PBEsol.

Summary:
V in Å³/f.u.: 43.6
Total energy in eV/cell: -111.23
ΔE to the lowest computed polymorph in meV per atom: 115
Mass density in Mg/m³: 12.02
Formation enthalpy at 0 K in eV/atom: 0.149

```
MgOsRu
1.0
-1.391 1.867 4.197
1.391 -1.867 4.197
1.391 1.867 -4.197
Mg Os Ru
1 1 1
Direct
0.000 0.000 0.000
0.679 0.679 0.000
0.322 0.322 0.000
```


(13)
Density functional theory data (SCAN) for a crystal of Ca2TaHg relaxed with PBEsol.

Summary:
V in Å³/f.u.: 100.7
Total energy in eV/cell: -152.69
Mass density in Mg/m³: 7.61
Formation enthalpy at 0 K in eV/atom: 0.347

```
Ca2TaHg
1.0
4.937 0.000 0.000
0.000 1.652 6.175
0.000 -1.652 6.175
Ca Ta Hg
2 1 1
Direct
0.000 0.000 0.000
0.500 0.328 0.328
0.000 0.721 0.721
0.500 0.607 0.607
```


(14)
Density functional theory data (SCAN) for a crystal of Zr2CuHg relaxed with PBEsol.

Summary:
V in Å³/f.u.: 76.3
Total energy in eV/cell: -144.45
Mass density in Mg/m³: 9.71
Formation enthalpy at 0 K in eV/atom: 0.077

```
Zr2CuHg
1.0
0.000 3.367 3.367
3.367 0.000 3.367
3.367 3.367 0.000
Zr Cu Hg
2 1 1
Direct
0.000 0.000 0.000
0.250 0.250 0.250
0.750 0.750 0.750
0.500 0.500 0.500
```


(15)
Density functional theory data (SCAN) for a crystal of Ag2PbSe relaxed with PBEsol.

Summary:
V in Å³/f.u.: 87.4
Total energy in eV/cell: -158.46
Mass density in Mg/m³: 9.54
Energy relative to the elements, uncorrected in meV per atom: 33

```
Ag2PbSe
1.0
-1.882 1.980 5.864
1.882 -1.980 5.864
1.882 1.980 -5.864
Ag Pb Se
2 1 1
Direct
0.000 0.000 0.000
0.675 0.175 0.500
0.278 0.778 0.500
0.493 0.493 0.000
```


(16)
Density functional theory data (SCAN) for a crystal of POsAuO2 relaxed with PBEsol.

Summary:
V in Å³/f.u.: 82.5
Total energy in eV/cell: -158.05
Mass density in Mg/m³: 9.06
Energy relative to the elements, uncorrected in meV per atom: 1171

```
POsAuO2
1.0
3.669 0.000 0.000
0.000 3.669 0.000
0.000 0.000 6.128
P Os Au O
1 1 1 2
Direct
0.000 0.000 0.000
0.500 0.500 0.000
0.000 0.000 0.500
0.000 0.500 0.500
0.500 0.000 0.500
```


(17)
Density functional theory data (SCAN) for a crystal of In3NiAs relaxed with PBEsol.

Summary:
V in Å³/f.u.: 113.9
Total energy in eV/cell: -135.72
Mass density in Mg/m³: 6.97
Formation enthalpy at 0 K in eV/atom: 0.161

```
In3NiAs
1.0
4.847 0.000 0.000
0.000 4.847 0.000
0.000 0.000 4.847
In Ni As
3 1 1
Direct
0.000 0.000 0.500
0.000 0.500 0.000
0.500 0.000 0.000
0.000 0.000 0.000
0.500 0.500 0.500
```


(18)
Density functional theory data (SCAN) for a crystal of FeMoPt2 relaxed with PBEsol.

Summary:
V in Å³/f.u.: 55.9
Total energy in eV/cell: -194.90
Mass density in Mg/m³: 16.09
Formation enthalpy at 0 K in eV/atom: -0.374

```
FeMoPt2
1.0
-1.885 1.885 3.935
1.885 -1.885 3.935
1.885 1.885 -3.935
Fe Mo Pt
1 1 2
Direct
0.000 0.000 0.000
0.500 0.500 0.000
0.250 0.750 0.500
0.750 0.250 0.500
```


(19)
Density functional theory data (SCAN) for a crystal of ScTa2TeC relaxed with PBEsol.

Summary:
V in Å³/f.u.: 89.8
Total energy in eV/cell: -193.87
Mass density in Mg/m³: 10.10
Energy relative to the elements, uncorrected in meV per atom: 177

```
ScTa2TeC
1.0
4.207 0.000 0.000
0.000 4.207 0.000
0.000 0.000 5.076
Sc Ta Te C
1 2 1 1
Direct
0.000 0.000 0.000
0.000 0.500 0.500
0.500 0.000 0.500
0.500 0.500 0.000
0.500 0.500 0.500
```


(20)
Density functional theory data (SCAN) for a crystal of RbInSi2Te relaxed with PBEsol.

Summary:
V in Å³/f.u.: 172.9
Total energy in eV/cell: -107.40
Mass density in Mg/m³: 3.69
Energy relative to the elements, uncorrected in meV per atom: 803

```
RbInSi2Te
1.0
5.315 0.000 0.000
0.000 5.315 0.000
0.000 0.000 6.119
Rb In Si Te
1 1 2 1
Direct
0.000 0.000 0.000
0.500 0.500 0.000
0.000 0.500 0.500
0.500 0.000 0.500
0.500 0.500 0.500
```